Record 1
Here is ZrCr2Cd after structural relaxation from the Alexandria database. Energies are from PBE. Values from VASP.

Size of the total moment in μB/f.u.: 2.0
VASP energy in eV per cell: -26.35
Energy relative to the elements in kJ/mol of formula units: 227
DOS at the Fermi energy in states/eV per cell: 4.9

Structure (Quantum ESPRESSO input):
```
&SYSTEM
  ibrav = 0, nat = 4, ntyp = 3
/
ATOMIC_SPECIES
Zr 91.22 Zr.upf
Cr 52.00 Cr.upf
Cd 112.41 Cd.upf
CELL_PARAMETERS angstrom
1.641 -2.278 0.000
1.641 2.278 0.000
0.000 0.000 8.980
ATOMIC_POSITIONS crystal
Zr 0.000 0.000 0.000
Cr 0.500 0.500 0.243
Cr 0.500 0.500 0.757
Cd 0.000 0.000 0.500
```



Record 2
Here is AcGaN after structural relaxation from the Alexandria database. Energies are from PBE. Values from VASP.

Size of the total moment in μB/f.u.: 0.0
VASP energy in eV per cell: -36.28
DOS at the Fermi energy in states/eV per cell: 0.5

Structure (Quantum ESPRESSO input):
```
&SYSTEM
  ibrav = 0, nat = 6, ntyp = 3
/
ATOMIC_SPECIES
Ac 227.00 Ac.upf
Ga 69.72 Ga.upf
N 14.01 N.upf
CELL_PARAMETERS angstrom
2.273 1.312 7.154
-2.273 1.312 7.154
0.000 -2.625 7.154
ATOMIC_POSITIONS crystal
Ac 0.103 0.103 0.103
Ac 0.897 0.897 0.897
Ga 0.319 0.319 0.319
Ga 0.681 0.681 0.681
N 0.221 0.221 0.221
N 0.779 0.779 0.779
```



Record 3
Here is K2TmBr6 after structural relaxation from the Alexandria database. Energies are from PBE. Values from VASP.

Size of the total moment in μB/f.u.: 0.0
VASP energy in eV per cell: -30.32
DOS at the Fermi energy in states/eV per cell: 13.5

Structure (Quantum ESPRESSO input):
```
&SYSTEM
  ibrav = 0, nat = 9, ntyp = 3
/
ATOMIC_SPECIES
K 39.10 K.upf
Tm 168.93 Tm.upf
Br 79.90 Br.upf
CELL_PARAMETERS angstrom
6.727 -3.880 0.000
6.727 3.880 0.000
0.000 0.000 5.988
ATOMIC_POSITIONS crystal
K 0.167 0.167 0.240
K 0.833 0.833 0.760
Tm 0.500 0.500 0.000
Br 0.155 0.672 0.249
Br 0.328 0.328 0.748
Br 0.328 0.845 0.751
Br 0.672 0.155 0.249
Br 0.672 0.672 0.252
Br 0.845 0.328 0.751
```



Record 4
Here is Dy6Sb3H after structural relaxation from the Alexandria database. Energies are from PBE. Values from VASP.

Size of the total moment in μB/f.u.: 0.0
VASP energy in eV per cell: -99.39
DOS at the Fermi energy in states/eV per cell: 14.3

Structure (Quantum ESPRESSO input):
```
&SYSTEM
  ibrav = 0, nat = 20, ntyp = 3
/
ATOMIC_SPECIES
Dy 162.50 Dy.upf
Sb 121.76 Sb.upf
H 1.01 H.upf
CELL_PARAMETERS angstrom
5.756 -7.476 0.000
5.756 7.476 0.000
0.000 0.000 6.254
ATOMIC_POSITIONS crystal
Dy 0.082 0.918 0.500
Dy 0.095 0.546 0.289
Dy 0.260 0.356 0.846
Dy 0.272 0.728 0.778
Dy 0.356 0.260 0.346
Dy 0.454 0.905 0.289
Dy 0.546 0.095 0.789
Dy 0.644 0.740 0.846
Dy 0.728 0.272 0.278
Dy 0.740 0.644 0.346
Dy 0.905 0.454 0.789
Dy 0.918 0.082 0.000
Sb 0.035 0.242 0.497
Sb 0.242 0.035 0.997
Sb 0.414 0.586 0.169
Sb 0.586 0.414 0.669
Sb 0.758 0.965 0.497
Sb 0.965 0.758 0.997
H 0.227 0.773 0.434
H 0.773 0.227 0.934
```



Record 5
Here is AcFePd after structural relaxation from the Alexandria database. Energies are from PBE. Values from VASP.

Size of the total moment in μB/f.u.: 2.6
VASP energy in eV per cell: -35.07
Energy relative to the elements in kJ/mol of formula units: 22
DOS at the Fermi energy in states/eV per cell: 5.7

Structure (Quantum ESPRESSO input):
```
&SYSTEM
  ibrav = 0, nat = 6, ntyp = 3
/
ATOMIC_SPECIES
Ac 227.00 Ac.upf
Fe 55.84 Fe.upf
Pd 106.42 Pd.upf
CELL_PARAMETERS angstrom
4.115 0.000 0.000
-2.058 3.564 0.000
0.000 0.000 10.032
ATOMIC_POSITIONS crystal
Ac 0.000 0.000 0.202
Ac 0.000 0.000 0.798
Fe 0.667 0.333 0.393
Fe 0.667 0.333 0.607
Pd 0.333 0.667 0.000
Pd 0.333 0.667 0.500
```



Record 6
Here is CaPdO after structural relaxation from the Alexandria database. Energies are from PBE. Values from VASP.

Size of the total moment in μB/f.u.: 0.0
VASP energy in eV per cell: -33.17
DOS at the Fermi energy in states/eV per cell: 2.0

Structure (Quantum ESPRESSO input):
```
&SYSTEM
  ibrav = 0, nat = 6, ntyp = 3
/
ATOMIC_SPECIES
Ca 40.08 Ca.upf
Pd 106.42 Pd.upf
O 16.00 O.upf
CELL_PARAMETERS angstrom
3.152 -1.649 0.000
3.152 1.649 0.000
-0.582 0.000 9.343
ATOMIC_POSITIONS crystal
Ca 0.000 0.000 0.000
Ca 0.671 0.671 0.698
Pd 0.402 0.402 0.432
Pd 0.714 0.714 0.247
O 0.316 0.316 0.874
O 0.972 0.972 0.583
```